Here is a relaxed structure of Tm3Ga5Te12 from Alexandria via LeMat-Bulk. Energies are from PBE-GGA.

```
Tm3Ga5Te12
1.0
14.837 0.000 0.000
-4.946 13.989 0.000
-4.946 -6.994 12.115
Ga Tm Te
20 12 48
direct
0.750 0.625 0.375
0.750 0.125 0.875
0.375 0.125 0.750
0.625 0.750 0.875
0.500 0.500 0.500
0.000 0.000 0.500
0.500 0.000 0.000
0.875 0.625 0.750
0.000 0.000 0.000
0.500 0.000 0.500
0.500 0.500 0.000
0.125 0.375 0.250
0.250 0.375 0.625
0.375 0.250 0.125
0.625 0.875 0.250
0.000 0.500 0.000
0.875 0.250 0.625
0.250 0.875 0.125
0.125 0.750 0.375
0.000 0.500 0.500
0.375 0.750 0.625
0.875 0.750 0.125
0.375 0.625 0.250
0.125 0.875 0.750
0.250 0.625 0.875
0.625 0.250 0.375
0.750 0.375 0.125
0.750 0.875 0.625
0.625 0.375 0.750
0.875 0.125 0.250
0.125 0.250 0.875
0.250 0.125 0.375
0.961 0.589 0.175
0.589 0.629 0.414
0.825 0.911 0.039
0.411 0.039 0.325
0.039 0.629 0.715
0.414 0.129 0.589
0.461 0.675 0.089
0.825 0.914 0.285
0.914 0.825 0.785
0.175 0.086 0.715
0.089 0.914 0.129
0.414 0.285 0.325
0.785 0.325 0.914
0.285 0.871 0.961
0.089 0.175 0.461
0.629 0.589 0.914
0.961 0.371 0.285
0.871 0.285 0.461
0.914 0.089 0.629
0.215 0.675 0.086
0.039 0.411 0.825
0.371 0.411 0.086
0.129 0.414 0.089
0.461 0.785 0.871
0.586 0.871 0.411
0.911 0.825 0.539
0.411 0.371 0.586
0.371 0.961 0.785
0.539 0.325 0.911
0.325 0.785 0.414
0.539 0.215 0.129
0.325 0.539 0.411
0.785 0.461 0.371
0.175 0.089 0.961
0.871 0.586 0.911
0.629 0.039 0.215
0.911 0.086 0.871
0.589 0.961 0.675
0.129 0.715 0.539
0.586 0.715 0.675
0.215 0.539 0.629
0.675 0.461 0.589
0.086 0.175 0.215
0.285 0.414 0.825
0.715 0.586 0.175
0.086 0.911 0.371
0.715 0.129 0.039
0.675 0.215 0.586
```

Output
- ΔE_f (raw): -11.8 eV per formula unit
- Space group: No. 230
- E: -3.904 eV/atom

=====

Here is a relaxed structure of Tm4Ga2Te from Alexandria via LeMat-Bulk. Energies are from PBE-GGA.

```
Tm4Ga2Te
1.0
7.634 -1.072 -0.151
-1.597 7.541 0.151
-2.908 -3.338 6.313
Tm Te Ga
8 2 4
direct
0.006 0.258 0.398
0.244 0.142 0.753
0.742 0.140 0.748
0.858 0.610 0.102
0.390 0.492 0.248
0.508 0.756 0.898
0.392 0.994 0.252
0.860 0.608 0.602
0.000 0.000 0.000
0.250 0.750 0.500
0.760 0.875 0.385
0.490 0.375 0.615
0.625 0.240 0.115
0.125 0.510 0.885
```

Output
- ΔE_f (raw): -4.9 eV per formula unit
- Space group: No. 122
- E: -4.567 eV/atom

=====

Here is a relaxed structure of TmGaTe3 from Alexandria via LeMat-Bulk. Energies are from PBE-GGA.

```
TmGaTe3
1.0
7.342 0.000 0.000
0.000 8.331 0.000
0.000 0.000 11.629
Te Tm Ga
12 4 4
direct
0.844 0.181 0.562
0.344 0.319 0.438
0.645 0.002 0.250
0.145 0.498 0.750
0.656 0.681 0.562
0.156 0.819 0.062
0.844 0.181 0.938
0.355 0.998 0.750
0.156 0.819 0.438
0.855 0.502 0.250
0.656 0.681 0.938
0.344 0.319 0.062
0.500 0.000 0.000
0.000 0.500 0.500
0.500 0.000 0.500
0.000 0.500 0.000
0.037 0.166 0.750
0.463 0.666 0.750
0.537 0.334 0.250
0.963 0.834 0.250
```

Output
- ΔE_f (raw): -3.5 eV per formula unit
- Space group: No. 62
- E: -4.095 eV/atom

=====

Here is a relaxed structure of Tm4GaTe3 from Alexandria via LeMat-Bulk. Energies are from PBE-GGA.

```
Tm4GaTe3
1.0
6.040 0.000 0.000
0.000 6.040 0.000
0.000 0.000 12.110
Te Ga Tm
6 2 8
direct
0.064 0.751 0.250
0.064 0.250 0.500
0.564 0.249 0.250
0.564 0.249 0.750
0.064 0.751 0.750
0.564 0.750 0.000
0.565 0.750 0.500
0.065 0.250 0.000
0.065 0.750 0.500
0.565 0.250 0.000
0.064 0.251 0.234
0.064 0.251 0.766
0.564 0.749 0.266
0.564 0.250 0.500
0.064 0.750 0.000
0.564 0.749 0.734
```

Output
- ΔE_f (raw): -8.6 eV per formula unit
- E above lowest polymorph: 22 meV/atom
- Space group: No. 59
- E: -4.866 eV/atom

=====

Here is a relaxed structure of Tm6GaTe5 from Alexandria via LeMat-Bulk. Energies are from PBE-GGA.

```
Tm6GaTe5
1.0
7.300 -0.095 -1.378
-3.929 6.154 -1.378
0.139 0.250 7.421
Te Ga Tm
5 1 6
direct
0.336 0.664 0.000
0.823 0.177 0.500
0.177 0.823 0.500
0.500 0.500 0.500
0.664 0.336 0.000
0.000 0.000 0.000
0.075 0.383 0.230
0.617 0.925 0.770
0.383 0.075 0.230
0.777 0.777 0.239
0.925 0.617 0.770
0.223 0.223 0.761
```

Output
- ΔE_f (raw): -13.9 eV per formula unit
- Space group: No. 12
- E: -4.954 eV/atom

=====

Here is a relaxed structure of Tm5Ga2Te from Alexandria via LeMat-Bulk. Energies are from PBE-GGA.

```
Tm5Ga2Te
1.0
-0.765 2.404 6.435
5.946 -3.621 3.878
-0.048 3.638 -5.107
Ga Tm Te
2 5 1
direct
0.334 0.812 0.604
0.725 0.280 0.439
0.711 0.680 0.490
0.618 0.195 0.775
0.210 0.283 0.002
0.825 0.764 0.125
0.262 0.645 0.871
0.091 0.117 0.247
```

Output
- ΔE_f (raw): -3.5 eV per formula unit
- E above lowest polymorph: 186 meV/atom
- Space group: No. 1
- E: -4.388 eV/atom

=====

Here is a relaxed structure of Tm2GaTe4 from Alexandria via LeMat-Bulk. Energies are from PBE-GGA.

```
Tm2GaTe4
1.0
6.551 0.000 0.000
0.000 6.551 0.000
-3.275 -3.275 6.573
Te Ga Tm
4 1 2
direct
0.127 0.127 0.773
0.873 0.354 0.227
0.646 0.646 0.773
0.354 0.873 0.227
0.500 0.500 0.000
0.750 0.250 0.500
0.250 0.750 0.500
```

Output
- ΔE_f (raw): -5.3 eV per formula unit
- Space group: No. 121
- E: -4.264 eV/atom

=====

Here is a relaxed structure of Tm6Ga3Te from Alexandria via LeMat-Bulk. Energies are from PBE-GGA.

```
Tm6Ga3Te
1.0
7.281 0.000 0.000
0.000 8.744 -0.302
0.000 -2.246 8.456
Tm Te Ga
12 2 6
direct
0.254 0.100 0.517
0.754 0.517 0.100
0.754 0.900 0.483
0.255 0.985 0.015
0.162 0.715 0.285
0.254 0.483 0.900
0.621 0.668 0.744
0.755 0.015 0.985
0.121 0.332 0.256
0.621 0.256 0.332
0.121 0.744 0.668
0.662 0.285 0.715
0.522 0.826 0.174
0.022 0.174 0.826
0.474 0.268 0.024
0.350 0.443 0.557
0.974 0.732 0.976
0.474 0.976 0.732
0.974 0.024 0.268
0.850 0.557 0.443
```

Output
- ΔE_f (raw): -4.5 eV per formula unit
- Space group: No. 36
- E: -4.354 eV/atom

=====

Here is a relaxed structure of Tm2GaTe from Alexandria via LeMat-Bulk. Energies are from PBE-GGA.

```
Tm2GaTe
1.0
4.051 0.000 0.000
2.025 3.508 0.000
2.025 1.169 7.464
Te Tm Ga
1 2 1
direct
0.500 0.500 0.500
0.744 0.744 0.768
0.256 0.256 0.232
0.000 0.000 0.000
```

Output
- ΔE_f (raw): -3.5 eV per formula unit
- E above lowest polymorph: 80 meV/atom
- Space group: No. 166
- E: -4.660 eV/atom

=====

Here is a relaxed structure of Tm6GaTe2 from Alexandria via LeMat-Bulk. Energies are from PBE-GGA.

```
Tm6GaTe2
1.0
6.846 0.000 0.000
0.000 6.846 0.000
0.000 0.000 12.591
Te Ga Tm
4 2 12
direct
0.500 0.500 0.162
0.000 0.000 0.662
0.000 0.000 0.338
0.500 0.500 0.838
0.000 0.000 0.000
0.500 0.500 0.500
0.302 0.302 0.660
0.802 0.198 0.840
0.221 0.779 0.500
0.279 0.279 0.000
0.802 0.198 0.160
0.302 0.302 0.340
0.698 0.698 0.660
0.198 0.802 0.160
0.779 0.221 0.500
0.198 0.802 0.840
0.698 0.698 0.340
0.721 0.721 0.000
```

Output
- ΔE_f (raw): -2.9 eV per formula unit
- Space group: No. 136
- E: -4.334 eV/atom

=====

Here is a relaxed structure of Tm2GaTe from Alexandria via LeMat-Bulk. Energies are from PBE-GGA.

```
Tm2GaTe
1.0
3.965 0.000 0.000
1.982 3.434 0.000
1.982 1.145 7.779
Ga Tm Te
1 2 1
direct
0.668 0.668 0.997
0.078 0.078 0.767
0.255 0.255 0.234
0.499 0.499 0.503
```

Output
- ΔE_f (raw): -3.3 eV per formula unit
- E above lowest polymorph: 133 meV/atom
- Space group: No. 160
- E: -4.607 eV/atom

=====

Here is a relaxed structure of Tm3GaTe6 from Alexandria via LeMat-Bulk. Energies are from PBE-GGA.

```
Tm3GaTe6
1.0
-7.193 0.180 -0.145
-0.276 -4.120 8.601
0.187 9.277 2.223
Te Ga Tm
12 2 6
direct
0.713 0.559 0.100
0.674 0.962 0.038
0.174 0.038 0.962
0.180 0.374 0.298
0.654 0.221 0.779
0.213 0.441 0.900
0.713 0.900 0.441
0.680 0.298 0.374
0.180 0.702 0.626
0.680 0.626 0.702
0.154 0.779 0.221
0.213 0.100 0.559
0.020 0.204 0.796
0.520 0.796 0.204
0.988 0.721 0.916
0.878 0.594 0.406
0.488 0.916 0.721
0.378 0.406 0.594
0.988 0.084 0.279
0.488 0.279 0.084
```

Output
- ΔE_f (raw): -10.5 eV per formula unit
- Space group: No. 36
- E: -4.577 eV/atom